PBE Hf8Co3Au2, optimized geometry; magnetic moment = 0.067 μB per atom; DOS(E_F) = 14.28 states/eV/f.u.; ΔH_f (0 K) = -0.17 eV per atom
1.0
7.507 -3.189 0.000
7.507 3.189 0.000
-0.325 0.000 5.283
Hf Co Au
8 3 2
Direct
0.050 0.050 0.265 Hf
0.116 0.627 0.189 Hf
0.349 0.349 0.690 Hf
0.373 0.884 0.811 Hf
0.627 0.116 0.189 Hf
0.651 0.651 0.310 Hf
0.884 0.373 0.811 Hf
0.950 0.950 0.735 Hf
0.327 0.673 0.500 Co
0.500 0.500 0.000 Co
0.673 0.327 0.500 Co
0.227 0.227 0.250 Au
0.773 0.773 0.750 Au

---

PBE Hf6CoAu2, optimized geometry; magnetic moment = 0.000 μB per atom; DOS(E_F) = 8.82 states/eV/f.u.; ΔH_f (0 K) = -0.20 eV per atom
1.0
5.508 0.000 0.000
0.000 7.229 0.000
-5.139 0.000 9.174
Hf Co Au
12 2 4
Direct
0.101 0.047 0.249 Hf
0.101 0.453 0.749 Hf
0.175 0.713 0.043 Hf
0.175 0.787 0.543 Hf
0.380 0.159 0.030 Hf
0.380 0.341 0.530 Hf
0.620 0.659 0.470 Hf
0.620 0.841 0.970 Hf
0.825 0.213 0.457 Hf
0.825 0.287 0.957 Hf
0.899 0.547 0.251 Hf
0.899 0.953 0.751 Hf
0.500 0.000 0.500 Co
0.500 0.500 0.000 Co
0.356 0.098 0.730 Au
0.356 0.402 0.230 Au
0.644 0.598 0.770 Au
0.644 0.902 0.270 Au

---

PBE HfCo3Au, optimized geometry; magnetic moment = 1.007 μB per atom; DOS(E_F) = 11.06 states/eV/f.u.; ΔH_f (0 K) = 1.29 eV per atom
1.0
4.595 0.000 0.000
0.000 4.595 0.000
0.000 0.000 4.595
Hf Co Au
1 3 1
Direct
0.000 0.000 0.000 Hf
0.000 0.500 0.500 Co
0.500 0.000 0.500 Co
0.500 0.500 0.000 Co
0.500 0.500 0.500 Au

---

PBE Hf4CoAu2, optimized geometry; magnetic moment = 0.000 μB per atom; DOS(E_F) = 6.91 states/eV/f.u.; ΔH_f (0 K) = -0.03 eV per atom
1.0
-2.344 2.344 6.881
2.344 -2.344 6.881
2.344 2.344 -6.881
Hf Co Au
4 1 2
Direct
0.000 0.500 0.500 Hf
0.182 0.182 0.000 Hf
0.500 0.000 0.500 Hf
0.818 0.818 0.000 Hf
0.000 0.000 0.000 Co
0.376 0.376 0.000 Au
0.624 0.624 0.000 Au

---

PBE HfCoAu2I, optimized geometry; magnetic moment = 0.515 μB per atom; DOS(E_F) = 4.30 states/eV/f.u.; raw formation energy = 95.41 kJ per mole of atoms
1.0
5.289 0.000 0.000
0.000 5.289 0.000
0.000 0.000 5.509
Hf Co Au I
1 1 2 1
Direct
0.000 0.000 0.000 Hf
0.500 0.500 0.500 Co
0.000 0.500 0.000 Au
0.500 0.000 0.000 Au
0.000 0.000 0.500 I

---

PBE LiHfCo2Au, optimized geometry; magnetic moment = 0.622 μB per atom; DOS(E_F) = 10.28 states/eV/f.u.; ΔH_f (0 K) = 1.13 eV per atom
1.0
4.799 0.000 0.000
0.000 4.799 0.000
0.000 0.000 5.000
Li Hf Co Au
1 1 2 1
Direct
0.000 0.000 0.000 Li
0.500 0.500 0.000 Hf
0.000 0.500 0.500 Co
0.500 0.000 0.500 Co
0.500 0.500 0.500 Au

---

PBE LuHfCoAu, optimized geometry; magnetic moment = 0.135 μB per atom; DOS(E_F) = 2.72 states/eV/f.u.; ΔH_f (0 K) = -0.39 eV per atom
1.0
0.000 3.352 3.352
3.352 0.000 3.352
3.352 3.352 0.000
Lu Hf Co Au
1 1 1 1
Direct
0.000 0.000 0.000 Lu
0.500 0.500 0.500 Hf
0.250 0.250 0.250 Co
0.750 0.750 0.750 Au

---

PBE Hf2CoAuN, optimized geometry; magnetic moment = 0.183 μB per atom; DOS(E_F) = 4.07 states/eV/f.u.; raw formation energy = -75.18 kJ per mole of atoms
1.0
4.429 0.000 0.000
0.000 4.429 0.000
0.000 0.000 3.835
Hf Co Au N
2 1 1 1
Direct
0.000 0.500 0.000 Hf
0.500 0.000 0.000 Hf
0.000 0.000 0.500 Co
0.500 0.500 0.500 Au
0.000 0.000 0.000 N

---

PBE HfCoPAu2, optimized geometry; magnetic moment = 0.464 μB per atom; DOS(E_F) = 5.07 states/eV/f.u.; ΔH_f (0 K) = 1.01 eV per atom
1.0
5.200 0.000 0.000
0.000 5.200 0.000
0.000 0.000 4.866
Hf Co P Au
1 1 1 2
Direct
0.000 0.000 0.000 Hf
0.500 0.500 0.500 Co
0.000 0.000 0.500 P
0.000 0.500 0.000 Au
0.500 0.000 0.000 Au

---

PBE Hf2CoPbAu, optimized geometry; magnetic moment = 0.391 μB per atom; DOS(E_F) = 7.22 states/eV/f.u.; ΔH_f (0 K) = 0.72 eV per atom
1.0
5.088 0.000 0.000
0.000 5.088 0.000
0.000 0.000 4.730
Hf Co Pb Au
2 1 1 1
Direct
0.000 0.500 0.000 Hf
0.500 0.000 0.000 Hf
0.000 0.000 0.500 Co
0.500 0.500 0.500 Pb
0.000 0.000 0.000 Au

---

PBE HfCoPb2Au, optimized geometry; magnetic moment = 0.000 μB per atom; DOS(E_F) = 5.62 states/eV/f.u.; ΔH_f (0 K) = 0.62 eV per atom
1.0
4.868 0.000 0.000
0.000 4.868 0.000
0.000 0.000 4.963
Hf Co Pb Au
1 1 2 1
Direct
0.000 0.000 0.000 Hf
0.500 0.500 0.500 Co
0.000 0.500 0.500 Pb
0.500 0.000 0.500 Pb
0.500 0.500 0.000 Au

---

PBE HfCoPdAu, optimized geometry; magnetic moment = 0.000 μB per atom; DOS(E_F) = 1.98 states/eV/f.u.; ΔH_f (0 K) = -0.36 eV per atom
1.0
0.000 3.167 3.167
3.167 0.000 3.167
3.167 3.167 0.000
Hf Co Pd Au
1 1 1 1
Direct
0.000 0.000 0.000 Hf
0.750 0.750 0.750 Co
0.250 0.250 0.250 Pd
0.500 0.500 0.500 Au

---

PBE HfCoRhAu, optimized geometry; magnetic moment = 0.173 μB per atom; DOS(E_F) = 4.60 states/eV/f.u.; ΔH_f (0 K) = -0.34 eV per atom
1.0
0.000 3.155 3.155
3.155 0.000 3.155
3.155 3.155 0.000
Hf Co Rh Au
1 1 1 1
Direct
0.000 0.000 0.000 Hf
0.750 0.750 0.750 Co
0.250 0.250 0.250 Rh
0.500 0.500 0.500 Au

---

PBE HfCo2AuS, optimized geometry; magnetic moment = 0.366 μB per atom; DOS(E_F) = 3.06 states/eV/f.u.; raw formation energy = 138.51 kJ per mole of atoms
1.0
4.576 0.000 0.000
0.000 4.576 0.000
0.000 0.000 5.188
Hf Co Au S
1 2 1 1
Direct
0.000 0.000 0.000 Hf
0.000 0.500 0.000 Co
0.500 0.000 0.000 Co
0.000 0.000 0.500 Au
0.500 0.500 0.500 S

---

PBE HfCoAu2S, optimized geometry; magnetic moment = 0.000 μB per atom; DOS(E_F) = 6.41 states/eV/f.u.; raw formation energy = 28.10 kJ per mole of atoms
1.0
4.884 0.000 0.000
0.000 4.884 0.000
0.000 0.000 3.980
Hf Co Au S
1 1 2 1
Direct
0.000 0.000 0.000 Hf
0.500 0.500 0.500 Co
0.000 0.500 0.500 Au
0.500 0.000 0.500 Au
0.500 0.500 0.000 S

---

PBE TmHfCoAu, optimized geometry; magnetic moment = 0.134 μB per atom; DOS(E_F) = 2.88 states/eV/f.u.; ΔH_f (0 K) = -0.37 eV per atom
1.0
0.000 3.366 3.366
3.366 0.000 3.366
3.366 3.366 0.000
Tm Hf Co Au
1 1 1 1
Direct
0.000 0.000 0.000 Tm
0.500 0.500 0.500 Hf
0.250 0.250 0.250 Co
0.750 0.750 0.750 Au

---

PBE HfVCo2Au, optimized geometry; magnetic moment = 0.031 μB per atom; DOS(E_F) = 8.12 states/eV/f.u.; ΔH_f (0 K) = 1.47 eV per atom
1.0
4.408 0.000 0.000
0.000 4.408 0.000
0.000 0.000 5.072
Hf V Co Au
1 1 2 1
Direct
0.000 0.000 0.000 Hf
0.500 0.500 0.500 V
0.000 0.500 0.000 Co
0.500 0.000 0.000 Co
0.000 0.000 0.500 Au

---

PBE HfZnCoAu, optimized geometry; magnetic moment = 0.179 μB per atom; DOS(E_F) = 2.95 states/eV/f.u.; ΔH_f (0 K) = -0.25 eV per atom
1.0
0.000 3.173 3.173
3.173 0.000 3.173
3.173 3.173 0.000
Hf Zn Co Au
1 1 1 1
Direct
0.000 0.000 0.000 Hf
0.500 0.500 0.500 Zn
0.750 0.750 0.750 Co
0.250 0.250 0.250 Au

---

PBE CoHg3Au, optimized geometry; magnetic moment = 0.499 μB per atom; DOS(E_F) = 10.59 states/eV/f.u.; ΔH_f (0 K) = 0.87 eV per atom
1.0
5.345 0.000 0.000
0.000 5.345 0.000
0.000 0.000 5.345
Co Hg Au
1 3 1
Direct
0.000 0.000 0.000 Co
0.000 0.500 0.500 Hg
0.500 0.000 0.500 Hg
0.500 0.500 0.000 Hg
0.500 0.500 0.500 Au

---

PBE Co2HgAu, optimized geometry; magnetic moment = 0.838 μB per atom; DOS(E_F) = 3.43 states/eV/f.u.; ΔH_f (0 K) = 0.23 eV per atom
1.0
2.889 0.000 0.000
0.000 2.889 0.000
0.000 0.000 7.420
Co Hg Au
2 1 1
Direct
0.000 0.000 0.000 Co
0.500 0.500 0.167 Co
0.000 0.000 0.434 Hg
0.500 0.500 0.752 Au

---

PBE CoHg2Au, optimized geometry; magnetic moment = 0.405 μB per atom; DOS(E_F) = 5.44 states/eV/f.u.; ΔH_f (0 K) = 0.41 eV per atom
1.0
-2.041 2.041 4.416
2.041 -2.041 4.416
2.041 2.041 -4.416
Co Hg Au
1 2 1
Direct
0.000 0.000 0.000 Co
0.250 0.750 0.500 Hg
0.500 0.500 0.000 Hg
0.750 0.250 0.500 Au

---

PBE CoHg2Au, optimized geometry; magnetic moment = 0.375 μB per atom; DOS(E_F) = 3.39 states/eV/f.u.; ΔH_f (0 K) = 0.37 eV per atom
1.0
4.639 -1.507 0.000
4.639 1.507 0.000
-1.152 0.000 5.290
Co Hg Au
1 2 1
Direct
0.000 0.000 0.000 Co
0.261 0.261 0.766 Hg
0.739 0.739 0.234 Hg
0.500 0.500 0.500 Au

---

PBE Co2HgAu, optimized geometry; magnetic moment = 0.803 μB per atom; DOS(E_F) = 5.71 states/eV/f.u.; ΔH_f (0 K) = 0.40 eV per atom
1.0
-2.029 2.029 3.710
2.029 -2.029 3.710
2.029 2.029 -3.710
Co Hg Au
2 1 1
Direct
0.250 0.750 0.500 Co
0.750 0.250 0.500 Co
0.000 0.000 0.000 Hg
0.500 0.500 0.000 Au

---

PBE Co2HgAu, optimized geometry; magnetic moment = 0.795 μB per atom; DOS(E_F) = 5.93 states/eV/f.u.; ΔH_f (0 K) = 0.40 eV per atom
1.0
2.870 0.000 0.000
0.000 3.715 0.000
-0.026 0.000 5.779
Co Hg Au
2 1 1
Direct
0.001 0.000 0.225 Co
0.999 0.000 0.775 Co
0.500 0.500 0.500 Hg
0.500 0.500 0.000 Au

---

PBE Co2HgAu, optimized geometry; magnetic moment = 0.828 μB per atom; DOS(E_F) = 6.21 states/eV/f.u.; ΔH_f (0 K) = 0.41 eV per atom
1.0
2.872 -3.662 0.000
2.872 3.662 0.000
0.000 0.000 2.914
Co Hg Au
2 1 1
Direct
0.000 0.500 0.000 Co
0.500 0.000 0.000 Co
0.000 0.000 0.500 Hg
0.500 0.500 0.500 Au

---

PBE CoHg2Au, optimized geometry; magnetic moment = 0.356 μB per atom; DOS(E_F) = 3.84 states/eV/f.u.; ΔH_f (0 K) = 0.39 eV per atom
1.0
0.000 3.314 3.314
3.314 0.000 3.314
3.314 3.314 0.000
Co Hg Au
1 2 1
Direct
0.000 0.000 0.000 Co
0.250 0.250 0.250 Hg
0.750 0.750 0.750 Hg
0.500 0.500 0.500 Au

---

PBE Co2HgAu, optimized geometry; magnetic moment = 0.884 μB per atom; DOS(E_F) = 4.45 states/eV/f.u.; ΔH_f (0 K) = 0.34 eV per atom
1.0
-1.513 2.269 4.511
1.513 -2.269 4.511
1.513 2.269 -4.511
Co Hg Au
2 1 1
Direct
0.000 0.000 0.000 Co
0.806 0.306 0.500 Co
0.264 0.764 0.500 Hg
0.546 0.546 0.000 Au

---

PBE Co2HgAu, optimized geometry; magnetic moment = 0.782 μB per atom; DOS(E_F) = 6.35 states/eV/f.u.; ΔH_f (0 K) = 0.41 eV per atom
1.0
2.894 0.000 0.000
0.000 2.894 0.000
0.000 0.000 7.307
Co Hg Au
2 1 1
Direct
0.000 0.000 0.238 Co
0.000 0.000 0.762 Co
0.500 0.500 0.500 Hg
0.500 0.500 0.000 Au